Entry 1:
NdBe2Rh2 | GGA-PBE | optimized geometry

Unit cell a=4.1672 b=4.1672 c=5.3991 alpha=112.70 beta=112.70 gamma=90.00
Closest atoms and distances in Å follow each position.
Fractional positions:
Nd: 0.0000 0.0000 0.0000  8 Rh 3.08, 10 Be 3.19-3.23
Be: 0.6474 0.6474 0.2949  4 Rh 2.28
Be: 0.3526 0.3526 0.7051  4 Rh 2.28
Rh: 0.7500 0.2500 0.5000  4 Be 2.28
Rh: 0.2500 0.7500 0.5000  4 Be 2.28

ΔE_f   -0.611 eV per atom
Space-group type   No. 139

Entry 2:
NdBeRh3 | GGA-PBE | optimized geometry

Unit cell a=4.3135 b=4.3135 c=4.3135 alpha=90.00 beta=90.00 gamma=90.00
Closest atoms and distances in Å follow each position.
Fractional positions:
Rh: 0.0000 0.5000 0.0000  2 Be 2.16
Rh: 0.0000 0.0000 0.5000  2 Be 2.16
Rh: 0.5000 0.0000 0.0000  2 Be 2.16
Nd: 0.5000 0.5000 0.5000  12 Rh 3.05
Be: 0.0000 0.0000 0.0000  6 Rh 2.16

ΔE_f   -0.521 eV per atom
Space-group type   No. 221

Entry 3:
Nd2BeRh2 | GGA-PBE | optimized geometry

Unit cell a=5.8620 b=5.8620 c=7.2423 alpha=79.34 beta=79.34 gamma=56.63
Closest atoms and distances in Å follow each position.
Fractional positions:
Nd: 0.4830 0.2226 0.1499  6 Rh 2.91-3.16, 1 Be 3.16
Nd: 0.7774 0.5170 0.3501  6 Rh 2.91-3.16, 1 Be 3.16
Nd: 0.5170 0.7774 0.8501  6 Rh 2.91-3.16, 1 Be 3.16
Nd: 0.2226 0.4830 0.6499  6 Rh 2.91-3.16, 1 Be 3.16
Be: 0.0961 0.9039 0.2500  4 Rh 2.38-2.39
Be: 0.9039 0.0961 0.7500  4 Rh 2.38-2.39
Rh: 0.7518 0.9966 0.5105  2 Be 2.38-2.39
Rh: 0.0034 0.2482 0.9895  2 Be 2.38-2.39
Rh: 0.2482 0.0034 0.4895  2 Be 2.38-2.39
Rh: 0.9966 0.7518 0.0105  2 Be 2.38-2.39

ΔE_f   -0.586 eV per atom
Space-group type   No. 15

Entry 4:
Nd3BeRh2 | GGA-PBE | optimized geometry

Unit cell a=3.9936 b=12.0429 c=11.5232 alpha=90.00 beta=90.00 gamma=90.00
Closest atoms and distances in Å follow each position.
Fractional positions:
Nd: 0.2500 0.3800 0.0663  1 Be 3.03, 5 Rh 3.06-3.19
Nd: 0.7500 0.6200 0.9337  1 Be 3.03, 5 Rh 3.06-3.19
Nd: 0.7500 0.8800 0.4337  1 Be 3.03, 5 Rh 3.06-3.19
Nd: 0.2500 0.1200 0.5663  1 Be 3.03, 5 Rh 3.06-3.19
Nd: 0.2500 0.7024 0.1995  4 Rh 2.89-3.06, 2 Be 2.95
Nd: 0.7500 0.2976 0.8005  4 Rh 2.89-3.06, 2 Be 2.95
Nd: 0.7500 0.2024 0.3005  4 Rh 2.89-3.06, 2 Be 2.95
Nd: 0.2500 0.7976 0.6995  4 Rh 2.89-3.06, 2 Be 2.95
Nd: 0.2500 0.4484 0.3745  5 Rh 2.98-3.15, 3 Be 3.01-3.07
Nd: 0.7500 0.5516 0.6255  5 Rh 2.98-3.15, 3 Be 3.01-3.07
Nd: 0.7500 0.9484 0.1255  5 Rh 2.98-3.15, 3 Be 3.01-3.07
Nd: 0.2500 0.0516 0.8745  5 Rh 2.98-3.15, 3 Be 3.01-3.07
Be: 0.2500 0.1350 0.1263  3 Rh 2.32-2.44
Be: 0.7500 0.8650 0.8737  3 Rh 2.32-2.44
Be: 0.7500 0.6350 0.3737  3 Rh 2.32-2.44
Be: 0.2500 0.3650 0.6263  3 Rh 2.32-2.44
Rh: 0.2500 0.6811 0.4635  2 Be 2.32
Rh: 0.7500 0.3189 0.5365  2 Be 2.32
Rh: 0.7500 0.1811 0.0365  2 Be 2.32
Rh: 0.2500 0.8189 0.9635  2 Be 2.32
Rh: 0.2500 0.0285 0.3064  1 Be 2.44
Rh: 0.7500 0.9715 0.6936  1 Be 2.44
Rh: 0.7500 0.5285 0.1936  1 Be 2.44
Rh: 0.2500 0.4715 0.8064  1 Be 2.44

ΔE_f   -0.533 eV per atom
Space-group type   No. 62

Entry 5:
NdBeRh | GGA-PBE | optimized geometry

Unit cell a=3.9819 b=3.9819 c=8.3029 alpha=90.00 beta=90.00 gamma=120.01
Closest atoms and distances in Å follow each position.
Fractional positions:
Nd: 0.0000 0.5000 0.5000  6 Rh 3.10, 6 Be 3.10
Nd: 0.0000 0.5000 0.0000  6 Rh 3.10, 6 Be 3.10
Be: 0.3332 0.1668 0.7500  3 Rh 2.30
Be: 0.6668 0.8332 0.2500  3 Rh 2.30
Rh: 0.6666 0.8334 0.7500  3 Be 2.30
Rh: 0.3334 0.1666 0.2500  3 Be 2.30

ΔE to the lowest computed polymorph   0 meV per atom
ΔE_f   -0.526 eV per atom
Space-group type   No. 194

Entry 6:
NdBeRh | GGA-PBE | optimized geometry

Unit cell a=4.1935 b=3.9590 c=3.9590 alpha=120.00 beta=90.00 gamma=90.00
Closest atoms and distances in Å follow each position.
Fractional positions:
Rh: 0.1667 0.0000 0.0000  3 Be 2.29
Nd: 0.6667 0.3333 0.6667  6 Be 3.10, 6 Rh 3.10
Be: 0.1667 0.6667 0.3333  3 Rh 2.29

ΔE to the lowest computed polymorph   9 meV per atom
ΔE_f   -0.517 eV per atom
Space-group type   No. 187

Entry 7:
NdBeRh2 | GGA-PBE | optimized geometry

Unit cell a=3.9473 b=3.9473 c=5.6623 alpha=69.60 beta=69.60 gamma=60.00
Closest atoms and distances in Å follow each position.
Fractional positions:
Rh: 0.7869 0.7869 0.6392  3 Be 2.39
Rh: 0.2131 0.2131 0.3608  3 Be 2.39
Nd: 0.0000 0.0000 0.0000  6 Rh 2.95
Be: 0.5000 0.5000 0.5000  6 Rh 2.39

ΔE_f   -0.463 eV per atom
Space-group type   No. 166

Entry 8:
Nd2Be4Rh5 | GGA-PBE | optimized geometry

Unit cell a=5.7413 b=5.5825 c=6.8080 alpha=77.48 beta=65.06 gamma=59.05
Closest atoms and distances in Å follow each position.
Fractional positions:
Nd: 0.8627 0.0000 0.2746  10 Rh 3.12-3.33, 8 Be 3.22-3.29, 1 Nd 3.39
Nd: 0.1373 0.0000 0.7254  10 Rh 3.12-3.33, 8 Be 3.22-3.29, 1 Nd 3.39
Be: 0.4647 0.3273 0.7433  5 Rh 2.23-2.29
Be: 0.5353 0.6727 0.2567  5 Rh 2.23-2.29
Be: 0.2080 0.3273 0.2567  5 Rh 2.23-2.29
Be: 0.7920 0.6727 0.7433  5 Rh 2.23-2.29
Rh: 0.5000 0.0000 0.0000  4 Be 2.23
Rh: 0.0000 0.5000 0.0000  4 Be 2.29
Rh: 0.5000 0.5000 0.0000  4 Be 2.29
Rh: 0.2500 0.5000 0.5000  4 Be 2.24
Rh: 0.7500 0.5000 0.5000  4 Be 2.24

ΔE_f   -0.635 eV per atom
Space-group type   No. 69

Entry 9:
NdBeRh | GGA-PBE | optimized geometry

Unit cell a=6.4564 b=6.4564 c=5.9088 alpha=90.00 beta=90.00 gamma=90.00
Closest atoms and distances in Å follow each position.
Fractional positions:
Rh: 0.3491 0.3491 0.0000  3 Be 2.23-2.25
Rh: 0.6509 0.6509 0.5000  3 Be 2.23-2.25
Rh: 0.1509 0.8491 0.2500  3 Be 2.23-2.25
Rh: 0.8491 0.1509 0.7500  3 Be 2.23-2.25
Be: 0.6031 0.3969 0.7500  3 Rh 2.23-2.25
Be: 0.8969 0.8969 0.5000  3 Rh 2.23-2.25
Be: 0.1031 0.1031 0.0000  3 Rh 2.23-2.25
Be: 0.3969 0.6031 0.2500  3 Rh 2.23-2.25
Nd: 0.7261 0.2739 0.2500  4 Rh 2.89-3.16, 5 Be 3.01-3.16
Nd: 0.7739 0.7739 0.0000  4 Rh 2.89-3.16, 5 Be 3.01-3.16
Nd: 0.2261 0.2261 0.5000  4 Rh 2.89-3.16, 5 Be 3.01-3.16
Nd: 0.2739 0.7261 0.7500  4 Rh 2.89-3.16, 5 Be 3.01-3.16

ΔE to the lowest computed polymorph   311 meV per atom
ΔE_f   -0.215 eV per atom
Space-group type   No. 92

Entry 10:
NdBe17Rh | GGA-PBE | optimized geometry

Unit cell a=5.7125 b=5.7125 c=5.7125 alpha=83.55 beta=83.55 gamma=83.55
Closest atoms and distances in Å follow each position.
Fractional positions:
Nd: 0.6522 0.6522 0.6522  19 Be 2.78-2.90
Be: 0.2862 0.0110 0.7080  8 Be 2.09-2.33
Be: 0.7080 0.2862 0.0110  8 Be 2.09-2.33
Be: 0.0110 0.7080 0.2862  8 Be 2.09-2.33
Be: 0.2862 0.7080 0.0110  8 Be 2.09-2.33
Be: 0.0110 0.2862 0.7080  8 Be 2.09-2.33
Be: 0.7080 0.0110 0.2862  8 Be 2.09-2.33
Be: 0.3374 0.8785 0.3374  9 Be 2.16-2.30
Be: 0.3374 0.3374 0.8785  9 Be 2.16-2.30
Be: 0.8785 0.3374 0.3374  9 Be 2.16-2.30
Be: 0.6507 0.1586 0.6507  9 Be 2.19-2.43
Be: 0.6507 0.6507 0.1586  9 Be 2.19-2.43
Be: 0.1586 0.6507 0.6507  9 Be 2.19-2.43
Be: 0.9934 0.5092 0.9934  10 Be 2.14-2.38
Be: 0.9934 0.9934 0.5092  10 Be 2.14-2.38
Be: 0.5092 0.9934 0.9934  10 Be 2.14-2.38
Be: 0.9069 0.9069 0.9069  4 Be 2.11-2.28
Be: 0.0994 0.0994 0.0994  4 Be 2.11-2.22
Rh: 0.3218 0.3218 0.3218  10 Be 2.44-2.68

ΔE_f   -0.067 eV per atom
Space-group type   No. 160

Entry 11:
NdBeRh | GGA-PBE | optimized geometry

Unit cell a=7.4586 b=5.6965 c=5.7171 alpha=90.00 beta=112.99 gamma=90.00
Closest atoms and distances in Å follow each position.
Fractional positions:
Nd: 0.8764 0.6365 0.1966  5 Rh 3.02-3.13, 6 Be 3.06-3.19
Nd: 0.6236 0.1365 0.8034  5 Rh 3.02-3.13, 6 Be 3.06-3.19
Nd: 0.1236 0.3635 0.8034  5 Rh 3.02-3.13, 6 Be 3.06-3.19
Nd: 0.3764 0.8635 0.1966  5 Rh 3.02-3.13, 6 Be 3.06-3.19
Be: 0.4591 0.6372 0.7372  3 Rh 2.26-2.34
Be: 0.0409 0.1372 0.2628  3 Rh 2.26-2.34
Be: 0.5409 0.3628 0.2628  3 Rh 2.26-2.34
Be: 0.9591 0.8628 0.7372  3 Rh 2.26-2.34
Rh: 0.2118 0.9008 0.6145  3 Be 2.26-2.34
Rh: 0.2882 0.4008 0.3855  3 Be 2.26-2.34
Rh: 0.7882 0.0992 0.3855  3 Be 2.26-2.34
Rh: 0.7118 0.5992 0.6145  3 Be 2.26-2.34

ΔE to the lowest computed polymorph   47 meV per atom
ΔE_f   -0.479 eV per atom
Space-group type   No. 14

Entry 12:
NdBe2Rh | GGA-PBE | optimized geometry

Unit cell a=3.8931 b=3.8931 c=5.5370 alpha=69.42 beta=69.42 gamma=60.00
Closest atoms and distances in Å follow each position.
Fractional positions:
Rh: 0.5000 0.5000 0.5000  6 Be 2.29
Nd: 0.0000 0.0000 0.0000  8 Be 2.94-3.09
Be: 0.8062 0.8062 0.5814  3 Rh 2.29, 3 Be 2.39
Be: 0.1938 0.1938 0.4186  3 Rh 2.29, 3 Be 2.39

ΔE_f   -0.406 eV per atom
Space-group type   No. 166

no.,calculated density (Mg/m³)
1,7.8
2,9.6
3,8.2
4,7.8
5,7.5
6,7.5
7,8.5
8,8.2
9,6.9
10,3.6
11,7.6
12,6.6